[1]
VASP calculation (PBE) on a relaxed structure of Ca2ErAl.

Properties
total DFT energy (no corrections) = -2.87 eV per atom
formation energy = 0.209 eV per atom
spin magnetization = 1.92 Bohr magnetons per cell

Cell: 3.5381 3.5381 35.2737 Å, 90.00 90.00 120.00°
Space group R-3m (No. 166, hexagonal axes)
Asymmetric unit:
Ca 0.0000 0.0000 0.0970 x6
Er 0.0000 0.0000 0.0000 x3
Al 0.0000 0.0000 0.5000 x3

[2]
VASP calculation (PBE) on a relaxed structure of CaEr2Al.

Properties
total DFT energy (no corrections) = -3.63 eV per atom
energy above the lowest structure with this stoichiometry = 231 meV per atom
formation energy = 0.086 eV per atom
spin magnetization = 0.00 Bohr magnetons per cell

Cell: 3.5327 3.5327 34.0069 Å, 90.00 90.00 120.00°
Space group R-3m (No. 166, hexagonal axes)
Asymmetric unit:
Ca 0.0000 0.0000 0.0000 x3
Er 0.0000 0.0000 0.1012 x6
Al 0.0000 0.0000 0.5000 x3

[3]
VASP calculation (PBE) on a relaxed structure of CaEr2Al.

Properties
total DFT energy (no corrections) = -3.86 eV per atom
energy above the lowest structure with this stoichiometry = 0 meV per atom
formation energy = -0.145 eV per atom
spin magnetization = 0.00 Bohr magnetons per cell

Cell: 3.576 3.576 9.188 Å, 90.00 90.00 90.00°
Space group P4/mmm (No. 123)
Asymmetric unit:
Ca 0.000 0.000 0.000 x1
Er 0.500 0.500 0.307 x2
Al 0.000 0.000 0.500 x1

[4]
VASP calculation (PBE) on a relaxed structure of CaEr2Al9.

Properties
total DFT energy (no corrections) = -4.06 eV per atom
formation energy = -0.322 eV per atom
spin magnetization = 0.00 Bohr magnetons per cell

Cell: 5.5868 5.5868 26.3238 Å, 90.00 90.00 120.00°
Space group R-3m (No. 166, hexagonal axes)
Asymmetric unit:
Ca 0.0000 0.0000 0.0000 x3
Er 0.0000 0.0000 0.1424 x6
Al 0.0000 0.0000 0.3354 x6
Al 0.0000 0.0000 0.5000 x3
Al 0.0076 0.5038 0.9153 x18